[1]
Computed, not measured: crystalline TbErZnNi at its relaxed geometry at the PBE level of DFT.

Summary:
uncorrected energy = -4.42 eV/atom
energy of formation = -1.421 eV/f.u.
E above lowest polymorph = 0.027 eV per atom

Cell lengths 4.896, 4.896, 4.896 Å; angles 60.00, 60.00, 60.00 degrees
Atoms (fractional coordinates):
Ni1 0.250 0.250 0.250
Zn1 0.750 0.750 0.750
Tb1 0.000 0.000 0.000
Er1 0.500 0.500 0.500

---

[2]
Computed, not measured: crystalline Er12TcNi6 at its relaxed geometry at the PBE level of DFT.

Summary:
uncorrected energy = -5.52 eV/atom
energy of formation = -5.100 eV/f.u.

Cell lengths 8.191, 8.191, 8.191 Å; angles 109.47, 109.47, 109.47 degrees
Atoms (fractional coordinates):
Er1 0.295 0.113 0.818
Er2 0.295 0.477 0.182
Er3 0.705 0.523 0.818
Er4 0.705 0.887 0.182
Er5 0.113 0.818 0.295
Er6 0.477 0.182 0.295
Er7 0.523 0.818 0.705
Er8 0.887 0.182 0.705
Er9 0.818 0.295 0.113
Er10 0.182 0.295 0.477
Er11 0.818 0.705 0.523
Er12 0.182 0.705 0.887
Tc1 0.000 0.000 0.000
Ni1 0.373 0.500 0.873
Ni2 0.627 0.500 0.127
Ni3 0.500 0.873 0.373
Ni4 0.500 0.127 0.627
Ni5 0.873 0.373 0.500
Ni6 0.127 0.627 0.500

---

> Among the records above, which one has the lowest uncorrected energy?

Er12TcNi6

---

> The highest energy of formation belongs to which entry?

TbErZnNi